Record 1
Entry from Alexandria via LeMat-Bulk: an optimized crystal structure of Tl3ZnAg (PBE).

## Properties
As for the total energy: -1.878 eV per atom. The formation energy is 0.37 eV per atom. Its excess energy over the best structure of this formula in the dataset is 10 meV per atom. As for the density of states at the Fermi level: 0.412 states/eV/atom.

```
Tl3ZnAg
1.0
5.333 0.000 0.000
0.000 5.333 0.000
0.000 0.000 5.333
Tl Zn Ag
3 1 1
Cartesian
0.000 0.000 2.667 Tl
0.000 2.667 0.000 Tl
2.667 0.000 0.000 Tl
0.000 0.000 0.000 Zn
2.667 2.667 2.667 Ag
```

***

Record 2
Entry from Alexandria via LeMat-Bulk: an optimized crystal structure of LaHfAg2 (PBE).

## Properties
As for the total energy: -4.840 eV per atom. The formation energy is 0.31 eV per atom. Its excess energy over the best structure of this formula in the dataset is 351 meV per atom. As for the density of states at the Fermi level: 1.256 states/eV/atom.

```
LaHfAg2
1.0
8.115 0.000 0.000
0.000 8.115 0.000
0.000 0.000 6.112
La Hf Ag
4 4 8
Cartesian
0.000 0.000 0.000 La
0.000 4.057 1.528 La
4.057 0.000 4.584 La
4.057 4.057 3.056 La
0.000 0.000 3.056 Hf
0.000 4.057 4.584 Hf
4.057 0.000 1.528 Hf
4.057 4.057 0.000 Hf
1.742 2.029 3.820 Ag
2.029 5.800 5.348 Ag
2.029 6.373 2.292 Ag
2.315 2.029 0.764 Ag
5.800 6.086 0.764 Ag
6.086 1.742 2.292 Ag
6.086 2.315 5.348 Ag
6.373 6.086 3.820 Ag
```